DFT (PBE-GGA) results for an optimized crystal structure of CsSnGe2O.

a = 5.739 Å, b = 5.739 Å, c = 4.209 Å
α = 90.00°, β = 90.00°, γ = 90.00°
Fractional positions:
Cs1 0.000 0.000 0.000
Sn1 0.500 0.500 0.500
Ge1 0.000 0.500 0.500
Ge2 0.500 0.000 0.500
O1 0.500 0.500 0.000

Total energy = -18.2 eV/f.u.
SG = P4/mmm
E_form (uncorrected) = 0.18 eV/atom